Entry from Alexandria: B3C after structural relaxation (PBE).

abc: 2.688 2.664 8.519
angles: 90.00 90.00 90.00
Atoms (fractional coordinates):
B  0.750  0.000  0.774
B  0.750  0.500  0.929
B  0.750  0.500  0.412
B  0.250  0.000  0.226
B  0.250  0.500  0.071
B  0.250  0.500  0.588
C  0.250  0.000  0.675
C  0.750  0.000  0.325

- E above lowest polymorph (eV/f.u.) = 0.934
- energy of formation from the pure elements (kcal/mol of atoms) = 10.935
- total moment (μB per formula unit) = 0.0



Entry from Alexandria: B3C2 after structural relaxation (PBE).

abc: 11.677 11.677 11.677
angles: 13.04 13.04 13.04
Atoms (fractional coordinates):
B  0.204  0.204  0.204
B  0.788  0.788  0.788
B  0.255  0.255  0.255
B  0.405  0.405  0.405
B  0.044  0.044  0.044
B  0.849  0.849  0.849
C  0.606  0.606  0.606
C  0.998  0.998  0.998
C  0.650  0.650  0.650
C  0.451  0.451  0.451

- E above lowest polymorph (eV/f.u.) = 1.558
- energy of formation from the pure elements (kcal/mol of atoms) = 12.051
- total moment (μB per formula unit) = 0.0



Entry from Alexandria: B3C2 after structural relaxation (PBE).

abc: 4.586 4.586 6.438
angles: 70.36 70.36 32.43
Atoms (fractional coordinates):
C  0.986  0.986  0.261
C  0.421  0.421  0.625
C  0.405  0.405  0.396
C  0.168  0.168  0.215
B  0.629  0.629  0.874
B  0.852  0.852  0.770
B  0.220  0.220  0.421
B  0.752  0.752  0.053
B  0.598  0.598  0.627
B  0.970  0.970  0.007

- E above lowest polymorph (eV/f.u.) = 1.058
- energy of formation from the pure elements (kcal/mol of atoms) = 9.743
- total moment (μB per formula unit) = 0.0



Entry from Alexandria: BC after structural relaxation (PBE).

abc: 6.099 6.099 5.421
angles: 100.57 100.57 24.51
Atoms (fractional coordinates):
C  0.008  0.008  0.522
C  0.328  0.328  0.673
C  0.588  0.588  0.028
C  0.583  0.583  0.556
C  0.242  0.242  0.857
C  0.665  0.665  0.822
B  0.654  0.654  0.320
B  0.323  0.323  0.121
B  0.026  0.026  0.057
B  0.922  0.922  0.247
B  0.897  0.897  0.649
B  0.263  0.263  0.400

- E above lowest polymorph (eV/f.u.) = 0.455
- energy of formation from the pure elements (kcal/mol of atoms) = 8.728
- total moment (μB per formula unit) = 0.0



Entry from Alexandria: B7C5 after structural relaxation (PBE).

abc: 2.595 2.595 14.196
angles: 90.00 90.00 120.00
Atoms (fractional coordinates):
C  0.667  0.333  0.720
C  0.333  0.667  0.045
C  0.667  0.333  0.204
C  0.000  0.000  0.013
C  0.000  0.000  0.364
B  0.667  0.333  0.317
B  0.000  0.000  0.472
B  0.000  0.000  0.901
B  0.333  0.667  0.166
B  0.667  0.333  0.828
B  0.333  0.667  0.669
B  0.333  0.667  0.549

- E above lowest polymorph (eV/f.u.) = 3.752
- energy of formation from the pure elements (kcal/mol of atoms) = 11.001
- total moment (μB per formula unit) = 0.0



Entry from Alexandria: BC after structural relaxation (PBE).

abc: 2.689 2.580 11.872
angles: 90.00 90.00 90.00
Atoms (fractional coordinates):
B  0.000  0.500  0.772
B  0.500  0.500  0.151
B  0.500  0.000  0.265
B  0.500  0.500  0.503
B  0.000  0.000  0.644
B  0.500  0.000  0.914
C  0.000  0.000  0.344
C  0.500  0.000  0.584
C  0.500  0.500  0.833
C  0.000  0.000  0.004
C  0.000  0.500  0.073
C  0.000  0.500  0.412

- E above lowest polymorph (eV/f.u.) = 0.419
- energy of formation from the pure elements (kcal/mol of atoms) = 8.307
- total moment (μB per formula unit) = 0.0



Entry from Alexandria: B7C5 after structural relaxation (PBE).

abc: 7.676 7.686 7.686
angles: 160.87 146.92 38.50
Atoms (fractional coordinates):
C  0.005  0.000  0.004
C  0.581  0.607  0.973
C  0.128  0.463  0.665
C  0.633  0.966  0.667
C  0.499  0.501  0.998
B  0.580  0.278  0.303
B  0.566  0.164  0.402
B  0.133  0.785  0.349
B  0.117  0.107  0.010
B  0.962  0.669  0.293
B  0.543  0.856  0.687
B  0.003  0.354  0.649

- E above lowest polymorph (eV/f.u.) = 3.656
- energy of formation from the pure elements (kcal/mol of atoms) = 10.817
- total moment (μB per formula unit) = 0.0



Entry from Alexandria: B7C5 after structural relaxation (PBE).

abc: 2.718 4.674 6.592
angles: 88.55 90.00 90.00
Atoms (fractional coordinates):
B  0.000  0.331  0.648
B  0.500  0.527  0.259
B  0.000  0.353  0.109
B  0.000  0.707  0.933
B  0.500  0.504  0.007
B  0.500  0.155  0.924
B  0.000  0.920  0.264
C  0.000  0.675  0.682
C  0.500  0.823  0.368
C  0.000  0.015  0.032
C  0.500  0.834  0.605
C  0.500  0.156  0.668

- E above lowest polymorph (eV/f.u.) = 2.413
- energy of formation from the pure elements (kcal/mol of atoms) = 8.429
- total moment (μB per formula unit) = 0.0



Entry from Alexandria: B7C5 after structural relaxation (PBE).

abc: 2.562 2.562 14.375
angles: 90.00 90.00 120.00
Atoms (fractional coordinates):
B  0.333  0.667  0.643
B  0.667  0.333  0.832
B  0.000  0.000  0.903
B  0.333  0.667  0.162
B  0.667  0.333  0.716
B  0.000  0.000  0.386
B  0.667  0.333  0.313
C  0.333  0.667  0.047
C  0.000  0.000  0.015
C  0.667  0.333  0.206
C  0.333  0.667  0.532
C  0.000  0.000  0.496

- E above lowest polymorph (eV/f.u.) = 3.218
- energy of formation from the pure elements (kcal/mol of atoms) = 9.975
- total moment (μB per formula unit) = 0.0



Entry from Alexandria: BC after structural relaxation (PBE).

abc: 7.107 7.392 7.392
angles: 159.31 142.84 43.12
Atoms (fractional coordinates):
B  0.472  0.174  0.298
B  0.633  0.619  0.014
B  0.037  0.123  0.913
B  0.489  0.811  0.678
B  0.002  0.336  0.666
B  0.014  0.984  0.030
C  0.003  0.679  0.324
C  0.515  0.498  0.017
C  0.127  0.788  0.339
C  0.623  0.289  0.334
C  0.156  0.459  0.698
C  0.680  0.990  0.690

- E above lowest polymorph (eV/f.u.) = 0.453
- energy of formation from the pure elements (kcal/mol of atoms) = 8.705
- total moment (μB per formula unit) = 0.0



Entry from Alexandria: B3C2 after structural relaxation (PBE).

abc: 10.205 10.205 10.205
angles: 165.10 164.72 21.40
Atoms (fractional coordinates):
C  0.824  0.074  0.250
C  0.978  0.728  0.750
C  0.022  0.272  0.250
C  0.176  0.926  0.750
B  0.787  0.537  0.750
B  0.566  0.316  0.750
B  0.365  0.115  0.750
B  0.635  0.885  0.250
B  0.434  0.684  0.250
B  0.213  0.463  0.250

- E above lowest polymorph (eV/f.u.) = 0.846
- energy of formation from the pure elements (kcal/mol of atoms) = 8.769
- total moment (μB per formula unit) = 0.0



Entry from Alexandria: BC after structural relaxation (PBE).

abc: 6.446 7.436 7.436
angles: 159.70 139.44 46.53
Atoms (fractional coordinates):
C  0.478  0.505  0.973
C  0.123  0.452  0.671
C  0.146  0.794  0.352
C  0.587  0.282  0.305
C  0.638  0.624  0.014
C  0.998  0.675  0.323
B  0.552  0.172  0.381
B  0.097  0.130  0.966
B  0.533  0.834  0.699
B  0.616  0.973  0.642
B  0.980  0.982  0.998
B  0.003  0.327  0.676

- E above lowest polymorph (eV/f.u.) = 0.411
- energy of formation from the pure elements (kcal/mol of atoms) = 8.217
- total moment (μB per formula unit) = 0.0



Entry from Alexandria: BC after structural relaxation (PBE).

abc: 4.749 4.749 7.698
angles: 112.91 112.91 31.72
Atoms (fractional coordinates):
B  0.533  0.533  0.428
B  0.171  0.171  0.687
B  0.301  0.301  0.114
B  0.139  0.139  0.184
B  0.695  0.695  0.358
B  0.663  0.663  0.855
C  0.835  0.835  0.039
C  0.985  0.985  0.985
C  0.347  0.347  0.672
C  0.486  0.486  0.870
C  0.998  0.998  0.503
C  0.848  0.848  0.557

- E above lowest polymorph (eV/f.u.) = 0.572
- energy of formation from the pure elements (kcal/mol of atoms) = 10.069
- total moment (μB per formula unit) = 0.0



Entry from Alexandria: BC after structural relaxation (PBE).

abc: 14.643 14.643 14.643
angles: 10.26 10.26 10.26
Atoms (fractional coordinates):
B  0.160  0.160  0.160
B  0.919  0.919  0.919
B  0.803  0.803  0.803
B  0.430  0.430  0.430
B  0.543  0.543  0.543
C  0.195  0.195  0.195
C  0.009  0.009  0.009
C  0.342  0.342  0.342
C  0.582  0.582  0.582
C  0.767  0.767  0.767

- E above lowest polymorph (eV/f.u.) = 0.233
- energy of formation from the pure elements (kcal/mol of atoms) = 6.163
- total moment (μB per formula unit) = 0.0



Entry from Alexandria: BC after structural relaxation (PBE).

abc: 9.150 9.150 9.150
angles: 16.50 16.50 16.50
Atoms (fractional coordinates):
B  0.933  0.933  0.933
B  0.743  0.743  0.743
B  0.445  0.445  0.445
B  0.191  0.191  0.191
C  0.253  0.253  0.253
C  0.683  0.683  0.683
C  0.502  0.502  0.502
C  0.001  0.001  0.001

- E above lowest polymorph (eV/f.u.) = 0.524
- energy of formation from the pure elements (kcal/mol of atoms) = 9.517
- total moment (μB per formula unit) = 0.0



Entry from Alexandria: B7C5 after structural relaxation (PBE).

abc: 2.673 4.036 8.204
angles: 90.00 90.00 90.00
Atoms (fractional coordinates):
C  0.000  0.021  0.348
C  0.000  0.226  0.837
C  0.500  0.708  0.667
C  0.000  0.226  0.496
C  0.000  0.021  0.985
B  0.500  0.867  0.290
B  0.500  0.867  0.043
B  0.000  0.957  0.667
B  0.500  0.420  0.796
B  0.500  0.420  0.537
B  0.500  0.530  0.167
B  0.000  0.236  0.167

- E above lowest polymorph (eV/f.u.) = 2.111
- energy of formation from the pure elements (kcal/mol of atoms) = 7.847
- total moment (μB per formula unit) = 0.0



Entry from Alexandria: B3C7 after structural relaxation (PBE).

abc: 3.640 4.540 4.618
angles: 78.22 112.51 115.77
Atoms (fractional coordinates):
C  0.811  0.190  0.401
C  0.546  0.714  0.901
C  0.194  0.802  0.633
C  0.963  0.294  0.108
C  0.989  0.004  0.991
C  0.390  0.591  0.188
C  0.143  0.098  0.696
B  0.597  0.402  0.835
B  0.782  0.516  0.452
B  0.335  0.889  0.296

- E above lowest polymorph (eV/f.u.) = 0.596
- energy of formation from the pure elements (kcal/mol of atoms) = 7.425
- total moment (μB per formula unit) = 0.0



Entry from Alexandria: BC after structural relaxation (PBE).

abc: 4.533 4.533 8.359
angles: 119.15 119.15 31.98
Atoms (fractional coordinates):
B  0.511  0.511  0.847
B  0.454  0.454  0.384
B  0.208  0.208  0.233
B  0.024  0.024  0.013
B  0.639  0.639  0.342
B  0.358  0.358  0.145
C  0.318  0.318  0.662
C  0.822  0.822  0.560
C  0.843  0.843  0.014
C  0.678  0.678  0.822
C  0.165  0.165  0.704
C  0.980  0.980  0.525

- E above lowest polymorph (eV/f.u.) = 0.429
- energy of formation from the pure elements (kcal/mol of atoms) = 8.424
- total moment (μB per formula unit) = 0.0



Entry from Alexandria: BC after structural relaxation (PBE).

abc: 4.450 4.562 5.679
angles: 102.69 103.92 46.33
Atoms (fractional coordinates):
B  0.347  0.368  0.715
B  0.604  0.714  0.257
B  0.904  0.415  0.560
B  0.550  0.130  0.428
B  0.349  0.256  0.142
B  0.295  0.667  0.330
C  0.898  0.415  0.049
C  0.261  0.773  0.766
C  0.689  0.674  0.829
C  0.619  0.057  0.922
C  0.986  0.027  0.971
C  0.000  0.004  0.532

- E above lowest polymorph (eV/f.u.) = 0.559
- energy of formation from the pure elements (kcal/mol of atoms) = 9.929
- total moment (μB per formula unit) = 0.0



Entry from Alexandria: BC after structural relaxation (PBE).

abc: 4.643 4.643 7.594
angles: 112.73 112.73 33.34
Atoms (fractional coordinates):
B  0.483  0.483  0.366
B  0.518  0.518  0.919
B  0.678  0.678  0.823
B  0.157  0.157  0.188
B  0.313  0.313  0.631
B  0.687  0.687  0.365
C  0.989  0.989  0.998
C  0.333  0.333  0.163
C  0.849  0.849  0.547
C  0.158  0.158  0.697
C  0.827  0.827  0.044
C  0.009  0.009  0.508

- E above lowest polymorph (eV/f.u.) = 0.547
- energy of formation from the pure elements (kcal/mol of atoms) = 9.789
- total moment (μB per formula unit) = 0.0



Entry from Alexandria: BC after structural relaxation (PBE).

abc: 4.624 4.624 7.777
angles: 116.62 116.62 33.09
Atoms (fractional coordinates):
B  0.657  0.657  0.353
B  0.306  0.306  0.617
B  0.580  0.580  0.970
B  0.961  0.961  0.975
B  0.157  0.157  0.186
B  0.698  0.698  0.811
C  0.843  0.843  0.540
C  0.815  0.815  0.056
C  0.490  0.490  0.378
C  0.333  0.333  0.176
C  0.165  0.165  0.692
C  0.994  0.994  0.496

- E above lowest polymorph (eV/f.u.) = 0.509
- energy of formation from the pure elements (kcal/mol of atoms) = 9.345
- total moment (μB per formula unit) = 0.0